DFT (PBE-GGA) results for crystalline Cs at its relaxed geometry.

Lattice parameters (Å, degrees): 16.342 16.342 16.342 109.47 109.47 109.47
Positions (direct):
Cs: 0.000 0.000 0.000
Cs: 0.363 0.363 0.363
Cs: 0.625 0.625 0.815
Cs: 0.810 0.810 0.185
Cs: 0.317 0.317 0.723
Cs: 0.000 0.000 0.637
Cs: 0.595 0.595 0.277
Cs: 0.190 0.375 0.000
Cs: 0.625 0.815 0.625
Cs: 0.000 0.190 0.375
Cs: 0.405 0.683 0.000
Cs: 0.277 0.595 0.595
Cs: 0.683 0.000 0.405
Cs: 0.637 0.000 0.000
Cs: 0.810 0.185 0.810
Cs: 0.000 0.375 0.190
Cs: 0.317 0.723 0.317
Cs: 0.000 0.405 0.683
Cs: 0.405 0.000 0.683
Cs: 0.723 0.317 0.317
Cs: 0.185 0.810 0.810
Cs: 0.375 0.000 0.190
Cs: 0.000 0.637 0.000
Cs: 0.595 0.277 0.595
Cs: 0.000 0.683 0.405
Cs: 0.683 0.405 0.000
Cs: 0.190 0.000 0.375
Cs: 0.815 0.625 0.625
Cs: 0.375 0.190 0.000

Values from the calculation:
Space group: No. 217
Energy relative to the elements: 0.01 eV per atom



DFT (PBE-GGA) results for crystalline Li8Ca3Pm at its relaxed geometry.

Lattice parameters (Å, degrees): 6.135 6.135 9.827 90.00 90.00 120.00
Positions (direct):
Li: 0.333 0.667 0.501
Li: 0.333 0.667 0.997
Li: 0.501 0.002 0.747
Li: 0.501 0.499 0.747
Li: 0.998 0.499 0.747
Li: 0.166 0.332 0.254
Li: 0.166 0.834 0.254
Li: 0.668 0.834 0.254
Ca: 0.667 0.333 0.441
Ca: 0.667 0.333 0.063
Ca: 0.000 0.000 0.935
Pm: 0.000 0.000 0.561

Values from the calculation:
Space group: No. 156
Energy relative to the elements: 0.03 eV per atom



DFT (PBE-GGA) results for crystalline RbBa2ReO6 at its relaxed geometry.

Lattice parameters (Å, degrees): 6.134 6.590 8.854 90.00 89.18 90.00
Positions (direct):
Rb: 0.500 0.000 0.000
Rb: 0.000 0.500 0.500
Ba: 0.015 0.947 0.259
Ba: 0.515 0.553 0.759
Ba: 0.985 0.053 0.741
Ba: 0.485 0.447 0.241
Re: 0.500 0.000 0.500
Re: 0.000 0.500 0.000
O: 0.258 0.654 0.036
O: 0.758 0.846 0.536
O: 0.742 0.346 0.964
O: 0.242 0.154 0.464
O: 0.359 0.763 0.422
O: 0.859 0.737 0.922
O: 0.641 0.237 0.578
O: 0.141 0.263 0.078
O: 0.894 0.565 0.198
O: 0.394 0.935 0.698
O: 0.106 0.435 0.802
O: 0.606 0.065 0.302

Values from the calculation:
Space group: No. 14



DFT (PBE-GGA) results for crystalline La2ThCr2N6 at its relaxed geometry.

Lattice parameters (Å, degrees): 5.727 5.727 6.962 65.71 65.71 60.00
Positions (direct):
La: 0.792 0.792 0.624
La: 0.208 0.208 0.376
Th: 0.000 0.000 0.000
Cr: 0.408 0.408 0.777
Cr: 0.592 0.592 0.223
N: 0.738 0.738 0.288
N: 0.236 0.738 0.288
N: 0.738 0.236 0.288
N: 0.262 0.764 0.712
N: 0.764 0.262 0.712
N: 0.262 0.262 0.712

Values from the calculation:
Space group: No. 166



DFT (PBE-GGA) results for crystalline MgPt2Au at its relaxed geometry.

Lattice parameters (Å, degrees): 4.931 4.931 4.862 79.45 79.45 34.55
Positions (direct):
Au: 0.500 0.500 0.501
Mg: 0.254 0.254 0.244
Pt: 0.000 0.000 0.002
Pt: 0.747 0.747 0.754

Values from the calculation:
Space group: No. 8
Energy relative to the elements: -0.42 eV per atom



DFT (PBE-GGA) results for crystalline PmCrSn at its relaxed geometry.

Lattice parameters (Å, degrees): 3.930 3.361 16.547 107.96 135.48 89.94
Positions (direct):
Cr: 0.423 0.082 0.557
Cr: 0.577 0.918 0.443
Sn: 0.755 0.255 0.335
Sn: 0.245 0.745 0.665
Pm: 0.355 0.550 0.868
Pm: 0.645 0.450 0.132

Values from the calculation:
Space group: No. 11
Energy relative to the elements: 0.11 eV per atom



DFT (PBE-GGA) results for crystalline Y2Pa2Rh5 at its relaxed geometry.

Lattice parameters (Å, degrees): 7.532 7.916 7.916 124.10 90.00 90.00
Positions (direct):
Y: 0.000 0.797 0.203
Y: 0.500 0.297 0.703
Y: 0.000 0.203 0.797
Y: 0.500 0.703 0.297
Pa: 0.338 0.161 0.161
Pa: 0.662 0.839 0.839
Pa: 0.838 0.339 0.339
Pa: 0.162 0.661 0.661
Rh: 0.000 0.000 0.000
Rh: 0.500 0.500 0.500
Rh: 0.142 0.236 0.478
Rh: 0.858 0.522 0.764
Rh: 0.642 0.022 0.264
Rh: 0.358 0.736 0.978
Rh: 0.858 0.764 0.522
Rh: 0.142 0.478 0.236
Rh: 0.358 0.978 0.736
Rh: 0.642 0.264 0.022

Values from the calculation:
Space group: No. 64
Energy relative to the elements: -0.69 eV per atom



DFT (PBE-GGA) results for crystalline In6GeI8 at its relaxed geometry.

Lattice parameters (Å, degrees): 8.997 8.997 8.997 71.37 71.37 71.37
Positions (direct):
In: 0.044 0.461 0.703
In: 0.297 0.956 0.539
In: 0.539 0.297 0.956
In: 0.461 0.703 0.044
In: 0.703 0.044 0.461
In: 0.956 0.539 0.297
Ge: 0.000 0.000 0.000
I: 0.153 0.679 0.908
I: 0.092 0.847 0.321
I: 0.321 0.092 0.847
I: 0.666 0.666 0.666
I: 0.334 0.334 0.334
I: 0.679 0.908 0.153
I: 0.908 0.153 0.679
I: 0.847 0.321 0.092

Values from the calculation:
Space group: No. 148



DFT (PBE-GGA) results for crystalline PaAu at its relaxed geometry.

Lattice parameters (Å, degrees): 3.596 3.596 3.596 90.00 90.00 90.00
Each line ends with the local moment (μB).
Positions (direct):
Pa: 0.000 0.000 0.000  0.66
Au: 0.500 0.500 0.500  0.00

Values from the calculation:
Space group: No. 221
Energy relative to the elements: -0.16 eV per atom



| no. | DFT total energy (eV/atom) |
| --- | --- |
| 1 | -0.8431 |
| 2 | -2.1437 |
| 3 | -6.8872 |
| 4 | -8.8173 |
| 5 | -4.6588 |
| 6 | -6.0108 |
| 7 | -8.3204 |
| 8 | -2.6469 |
| 9 | -6.5456 |